No. 1
Below is a relaxed PuTh2Ge3Pt4 crystal, with properties calculated at the PBE level.

Results
Formation enthalpy at 0 K ... -0.8456 eV per atom
Size of the total moment ... 5.10 μB per formula unit

```
10
Lattice="4.323 0.000 0.000 0.000 4.323 0.000 0.000 0.000 11.171" Properties=species:S:1:pos:R:3 pbc="T T T"
Pu 2.161 2.161 5.586
Th 2.161 0.000 2.497
Th 0.000 2.161 8.674
Ge 0.000 0.000 5.586
Ge 2.161 0.000 9.821
Ge 0.000 2.161 1.350
Pt 2.161 2.161 0.000
Pt 0.000 0.000 0.000
Pt 2.161 0.000 7.378
Pt 0.000 2.161 3.794
```

---

No. 2
Below is a relaxed Pa2HgBi4 crystal, with properties calculated at the PBE level.

Results
E above lowest polymorph ... 1.50 kcal/mol of atoms
Formation enthalpy at 0 K ... -0.0577 eV per atom
Size of the total moment ... 1.34 μB per formula unit

```
7
Lattice="4.550 0.000 0.000 0.000 4.550 0.000 0.000 0.000 10.207" Properties=species:S:1:pos:R:3 pbc="T T T"
Pa 2.275 0.000 7.621
Pa 0.000 2.275 2.586
Hg 2.275 2.275 0.000
Bi 2.275 0.000 2.055
Bi 0.000 2.275 8.151
Bi 2.275 2.275 5.103
Bi 0.000 0.000 5.103
```

---

No. 3
Below is a relaxed Tb4Ce3YP8 crystal, with properties calculated at the PBE level.

Results
Formation enthalpy at 0 K ... -1.5768 eV per atom
Size of the total moment ... 1.38 μB per formula unit

```
16
Lattice="-2.939 -0.369 7.531 5.419 -5.720 1.834 2.462 7.085 -3.040" Properties=species:S:1:pos:R:3 pbc="T T T"
Tb -1.470 -0.185 3.766
Tb -0.238 3.358 2.246
Tb 0.000 0.000 0.000
Tb 1.231 3.543 -1.520
Ce 1.240 -3.044 4.683
Ce 2.471 0.498 3.163
Ce 3.941 0.683 -0.603
Y 2.709 -2.860 0.917
P 3.331 -4.380 3.256
P 4.561 -0.843 1.739
P 1.838 2.023 0.817
P 1.860 -4.565 7.027
P 3.082 5.562 -0.702
P 3.104 -1.026 5.509
P 0.381 1.839 4.587
P 1.611 5.377 3.069
```

---

No. 4
Below is a relaxed RbGe2Te8Pd crystal, with properties calculated at the PBE level.

Results
Size of the total moment ... 0.00 μB per formula unit
Formation energy (no corrections) ... -0.11 eV/atom

```
12
Lattice="6.391 0.000 0.000 3.195 5.535 0.000 3.195 1.845 12.541" Properties=species:S:1:pos:R:3 pbc="T T T"
Rb 6.391 3.690 6.270
Ge 3.195 1.845 2.784
Ge 9.586 5.535 9.756
Te 3.195 1.845 5.309
Te 5.767 1.929 1.824
Te 9.586 5.535 7.231
Te 8.228 4.030 1.824
Te 4.554 3.350 10.716
Te 5.178 5.110 1.824
Te 7.604 2.269 10.716
Te 7.015 5.450 10.716
Pd 0.000 0.000 0.000
```

---

No. 5
Below is a relaxed AcSmY2Se4 crystal, with properties calculated at the PBE level.

Results
Size of the total moment ... 0.00 μB per formula unit
Formation energy (no corrections) ... -1.79 eV/atom

```
8
Lattice="4.127 0.000 0.000 0.000 7.467 -0.254 0.000 2.522 6.746" Properties=species:S:1:pos:R:3 pbc="T T T"
Ac 2.064 3.733 -0.127
Sm 0.000 4.994 3.246
Y 0.000 2.522 6.745
Y 2.064 1.261 3.373
Se 0.000 7.617 4.759
Se 4.127 2.372 1.732
Se 2.064 6.352 1.508
Se 2.064 3.637 4.983
```

---

No. 6
Below is a relaxed CeDy3Er6 crystal, with properties calculated at the PBE level.

Results
E above lowest polymorph ... 0.00 kcal/mol of atoms
Formation enthalpy at 0 K ... 0.1618 eV per atom
Size of the total moment ... 0.76 μB per formula unit

```
20
Lattice="6.132 0.000 0.000 0.000 10.696 -1.554 0.000 -3.902 10.079" Properties=species:S:1:pos:R:3 pbc="T T T"
Ce 0.963 -0.851 7.648
Ce 4.029 7.645 0.877
Dy 2.761 7.239 5.771
Dy 5.827 4.010 8.344
Dy 0.425 1.777 5.554
Dy 3.491 5.017 2.972
Dy 5.827 -0.445 2.754
Dy 2.761 2.784 0.181
Er 0.184 5.182 5.129
Er 3.251 3.843 6.196
Er 2.278 2.077 8.881
Er 5.345 8.193 4.007
Er 2.566 9.968 -0.974
Er 3.906 0.231 6.786
Er 0.840 6.563 1.740
Er 5.632 -3.174 9.500
Er 2.278 -1.399 4.519
Er 5.345 4.717 -0.355
Er 0.184 2.952 2.329
Er 3.251 1.612 3.397
```

---

No. 7
Below is a relaxed Mg4Os crystal, with properties calculated at the PBE level.

Results
E above lowest polymorph ... 13.50 kcal/mol of atoms
Formation enthalpy at 0 K ... 0.6818 eV per atom
Size of the total moment ... 0.00 μB per formula unit

```
5
Lattice="1.234 6.782 4.146 -2.498 4.093 6.458 2.392 -6.639 -3.859" Properties=species:S:1:pos:R:3 pbc="T T T"
Mg 1.497 2.790 2.794
Mg -0.525 4.514 4.401
Mg -0.739 6.361 6.203
Mg -0.369 1.446 3.950
Os 0.000 0.000 0.000
```